# Ce2HPt

An optimized crystal structure of Ce2HPt (PBE, Alexandria via LeMat-Bulk).

Lattice parameters (Å, degrees): 3.0927 3.0927 26.2136 90.00 90.00 120.00
Atoms (fractional coordinates):
Ce  0.0000  0.0000  0.1034
Ce  0.0000  0.0000  0.8966
Ce  0.3333  0.6667  0.5633
Ce  0.3333  0.6667  0.7701
Ce  0.6667  0.3333  0.2299
Ce  0.6667  0.3333  0.4367
H  0.0000  0.0000  0.5000
H  0.3333  0.6667  0.1667
H  0.6667  0.3333  0.8333
Pt  0.0000  0.0000  0.0000
Pt  0.3333  0.6667  0.6667
Pt  0.6667  0.3333  0.3333

Results
The space group is R-3m. Its total magnetic moment is 3.3 Bohr magnetons per cell. The value obtained for the energy relative to the lowest polymorph listed for this composition is 508 meV per atom.

---

# Cs3SrSb

An optimized crystal structure of Cs3SrSb (PBE, Alexandria via LeMat-Bulk).

Lattice parameters (Å, degrees): 7.5264 7.5264 7.5264 90.00 90.00 90.00
Atoms (fractional coordinates):
Cs  0.0000  0.0000  0.5000
Cs  0.0000  0.5000  0.0000
Cs  0.5000  0.0000  0.0000
Sr  0.5000  0.5000  0.5000
Sb  0.0000  0.0000  0.0000

Results
The raw formation energy is 0.0212 eV/atom. The space group is Pm-3m. Its total magnetic moment is 0.0 Bohr magnetons per cell. The value obtained for the energy relative to the lowest polymorph listed for this composition is 0 meV per atom.

---

# Ac2MgHg4

An optimized crystal structure of Ac2MgHg4 (PBE, Alexandria via LeMat-Bulk).

Lattice parameters (Å, degrees): 10.9533 10.9533 10.9533 25.79 25.79 25.79
Atoms (fractional coordinates):
Ac  0.2494  0.2494  0.2494
Ac  0.7506  0.7506  0.7506
Mg  0.0000  0.0000  0.0000
Hg  0.1424  0.1424  0.1424
Hg  0.3620  0.3620  0.3620
Hg  0.6380  0.6380  0.6380
Hg  0.8576  0.8576  0.8576

Results
The calculation puts the energy of formation from the pure elements at -0.353 eV per atom. The space group is R-3m. Its total magnetic moment is 0.0 Bohr magnetons per cell. The value obtained for the energy relative to the lowest polymorph listed for this composition is 0 meV per atom.

---

# Li4RuCl

An optimized crystal structure of Li4RuCl (PBE, Alexandria via LeMat-Bulk).

Lattice parameters (Å, degrees): 5.0751 5.0751 5.0751 60.00 60.00 60.00
Atoms (fractional coordinates):
Li  0.1219  0.1219  0.1219
Li  0.1219  0.1219  0.6344
Li  0.1219  0.6344  0.1219
Li  0.6344  0.1219  0.1219
Ru  0.7500  0.7500  0.7500
Cl  0.5000  0.5000  0.5000

Results
The raw formation energy is 0.3347 eV/atom. The space group is F-43m. Its total magnetic moment is 0.9 Bohr magnetons per cell.

---

# Tl2SnPS4

An optimized crystal structure of Tl2SnPS4 (PBE, Alexandria via LeMat-Bulk).

Lattice parameters (Å, degrees): 8.1050 8.1050 8.1050 123.10 117.29 89.74
Atoms (fractional coordinates):
Tl  0.0000  0.0000  0.0000
Tl  0.5000  0.0000  0.0000
Tl  0.5000  0.0000  0.5000
Tl  0.5000  0.5000  0.5000
Sn  0.0000  0.5000  0.5000
Sn  0.5000  0.5000  0.0000
P  0.0000  0.0000  0.5000
P  0.0000  0.5000  0.0000
S  0.1916  0.7418  0.4498
S  0.2081  0.2582  0.9498
S  0.2256  0.2418  0.5162
S  0.2256  0.7093  0.9838
S  0.7744  0.2907  0.0162
S  0.7744  0.7582  0.4838
S  0.7919  0.7418  0.0502
S  0.8084  0.2582  0.5502

Results
The raw formation energy is -0.1274 eV/atom. The space group is Imma. Its total magnetic moment is 0.0 Bohr magnetons per cell.

---

# Pr2TmPu

An optimized crystal structure of Pr2TmPu (PBE, Alexandria via LeMat-Bulk).

Lattice parameters (Å, degrees): 8.0627 8.0627 8.0627 90.00 90.00 90.00
Atoms (fractional coordinates):
Pr  0.2500  0.2500  0.2500
Pr  0.2500  0.2500  0.7500
Pr  0.2500  0.7500  0.2500
Pr  0.2500  0.7500  0.7500
Pr  0.7500  0.2500  0.2500
Pr  0.7500  0.2500  0.7500
Pr  0.7500  0.7500  0.2500
Pr  0.7500  0.7500  0.7500
Tm  0.0000  0.0000  0.0000
Tm  0.0000  0.5000  0.5000
Tm  0.5000  0.0000  0.5000
Tm  0.5000  0.5000  0.0000
Pu  0.0000  0.0000  0.5000
Pu  0.0000  0.5000  0.0000
Pu  0.5000  0.0000  0.0000
Pu  0.5000  0.5000  0.5000

Results
The calculation puts the energy of formation from the pure elements at 0.217 eV per atom. The space group is Fm-3m. Its total magnetic moment is 30.5 Bohr magnetons per cell. The value obtained for the energy relative to the lowest polymorph listed for this composition is 97 meV per atom.

---

# Os2RuRh

An optimized crystal structure of Os2RuRh (PBE, Alexandria via LeMat-Bulk).

Lattice parameters (Å, degrees): 2.6919 3.8245 12.2476 90.00 90.00 90.00
Atoms (fractional coordinates):
Os  0.0000  0.0000  0.0000
Os  0.0000  0.0000  0.2140
Os  0.0000  0.5000  0.5000
Os  0.0000  0.5000  0.7140
Ru  0.5000  0.0000  0.6123
Ru  0.5000  0.5000  0.1123
Rh  0.5000  0.0000  0.3919
Rh  0.5000  0.5000  0.8919

Results
The calculation puts the energy of formation from the pure elements at 0.429 eV per atom. The space group is Amm2. Its total magnetic moment is 0.0 Bohr magnetons per cell. The value obtained for the energy relative to the lowest polymorph listed for this composition is 344 meV per atom.

---

# AgOs2Ru2

An optimized crystal structure of AgOs2Ru2 (PBE, Alexandria via LeMat-Bulk).

Lattice parameters (Å, degrees): 7.5814 7.5814 2.7158 90.00 90.00 90.00
Atoms (fractional coordinates):
Ag  0.0000  0.0000  0.0000
Ag  0.5000  0.5000  0.0000
Os  0.1674  0.3326  0.5000
Os  0.3326  0.8326  0.5000
Os  0.6674  0.1674  0.5000
Os  0.8326  0.6674  0.5000
Ru  0.1237  0.6237  0.0000
Ru  0.3763  0.1237  0.0000
Ru  0.6237  0.8763  0.0000
Ru  0.8763  0.3763  0.0000

Results
The calculation puts the energy of formation from the pure elements at 0.433 eV per atom. The space group is P4/mbm. Its total magnetic moment is 0.0 Bohr magnetons per cell. The value obtained for the energy relative to the lowest polymorph listed for this composition is 44 meV per atom.

---

# TaTlRh2Cl

An optimized crystal structure of TaTlRh2Cl (PBE, Alexandria via LeMat-Bulk).

Lattice parameters (Å, degrees): 4.9660 4.9660 4.9436 90.00 90.00 90.00
Atoms (fractional coordinates):
Ta  0.0000  0.0000  0.0000
Tl  0.5000  0.5000  0.5000
Rh  0.0000  0.5000  0.5000
Rh  0.5000  0.0000  0.5000
Cl  0.5000  0.5000  0.0000

Results
The raw formation energy is 1.8158 eV/atom. The space group is P4/mmm. Its total magnetic moment is 0.0 Bohr magnetons per cell.

---

# La2InTc

An optimized crystal structure of La2InTc (PBE, Alexandria via LeMat-Bulk).

Lattice parameters (Å, degrees): 3.5970 3.5970 28.6868 90.00 90.00 120.00
Atoms (fractional coordinates):
La  0.0000  0.0000  0.0000
La  0.0000  0.0000  0.2260
La  0.3333  0.6667  0.6667
La  0.3333  0.6667  0.8927
La  0.6667  0.3333  0.3333
La  0.6667  0.3333  0.5594
In  0.0000  0.0000  0.4656
In  0.3333  0.6667  0.1323
In  0.6667  0.3333  0.7990
Tc  0.0000  0.0000  0.7345
Tc  0.3333  0.6667  0.4012
Tc  0.6667  0.3333  0.0678

Results
The calculation puts the energy of formation from the pure elements at 0.241 eV per atom. The space group is R3m. Its total magnetic moment is 0.0 Bohr magnetons per cell.

---

# ScCu3Br

An optimized crystal structure of ScCu3Br (PBE, Alexandria via LeMat-Bulk).

Lattice parameters (Å, degrees): 4.6757 4.6757 4.6757 90.00 90.00 90.00
Atoms (fractional coordinates):
Sc  0.0000  0.0000  0.0000
Cu  0.0000  0.5000  0.5000
Cu  0.5000  0.0000  0.5000
Cu  0.5000  0.5000  0.0000
Br  0.5000  0.5000  0.5000

Results
The raw formation energy is 0.8359 eV/atom. The space group is Pm-3m. Its total magnetic moment is 0.0 Bohr magnetons per cell. The value obtained for the energy relative to the lowest polymorph listed for this composition is 0 meV per atom.

---

# Sc2SnPt

An optimized crystal structure of Sc2SnPt (PBE, Alexandria via LeMat-Bulk).

Lattice parameters (Å, degrees): 3.6354 3.6354 27.4826 90.00 90.00 120.00
Atoms (fractional coordinates):
Sc  0.0000  0.0000  0.1078
Sc  0.0000  0.0000  0.8922
Sc  0.3333  0.6667  0.5588
Sc  0.3333  0.6667  0.7745
Sc  0.6667  0.3333  0.2255
Sc  0.6667  0.3333  0.4412
Sn  0.0000  0.0000  0.0000
Sn  0.3333  0.6667  0.6667
Sn  0.6667  0.3333  0.3333
Pt  0.0000  0.0000  0.5000
Pt  0.3333  0.6667  0.1667
Pt  0.6667  0.3333  0.8333

Results
The calculation puts the energy of formation from the pure elements at -0.436 eV per atom. The space group is R-3m. Its total magnetic moment is 0.0 Bohr magnetons per cell.

---

# Li2La2Ag

An optimized crystal structure of Li2La2Ag (PBE, Alexandria via LeMat-Bulk).

Lattice parameters (Å, degrees): 3.7247 3.7247 19.8948 90.00 90.00 90.00
Atoms (fractional coordinates):
Li  0.0000  0.5000  0.2500
Li  0.0000  0.5000  0.7500
Li  0.5000  0.0000  0.2500
Li  0.5000  0.0000  0.7500
La  0.0000  0.0000  0.0970
La  0.0000  0.0000  0.9030
La  0.5000  0.5000  0.4030
La  0.5000  0.5000  0.5970
Ag  0.0000  0.0000  0.5000
Ag  0.5000  0.5000  0.0000

Results
The calculation puts the energy of formation from the pure elements at 0.048 eV per atom. The space group is I4/mmm. Its total magnetic moment is 1.7 Bohr magnetons per cell. The value obtained for the energy relative to the lowest polymorph listed for this composition is 60 meV per atom.

---

# Y3Ni6Ge5

An optimized crystal structure of Y3Ni6Ge5 (PBE, Alexandria via LeMat-Bulk).

Lattice parameters (Å, degrees): 3.9941 12.1681 9.3224 90.00 90.00 90.00
Atoms (fractional coordinates):
Y  0.2500  0.0798  0.2459
Y  0.2500  0.4202  0.2459
Y  0.2500  0.7500  0.2485
Y  0.7500  0.2500  0.7515
Y  0.7500  0.5798  0.7541
Y  0.7500  0.9202  0.7541
Ni  0.2500  0.0598  0.5933
Ni  0.2500  0.2500  0.4960
Ni  0.2500  0.2500  0.9967
Ni  0.2500  0.4402  0.5933
Ni  0.2500  0.5825  0.0025
Ni  0.2500  0.9175  0.0025
Ni  0.7500  0.0825  0.9975
Ni  0.7500  0.4175  0.9975
Ni  0.7500  0.5598  0.4067
Ni  0.7500  0.7500  0.0033
Ni  0.7500  0.7500  0.5040
Ni  0.7500  0.9402  0.4067
Ge  0.2500  0.0832  0.8561
Ge  0.2500  0.4168  0.8561
Ge  0.2500  0.6307  0.5245
Ge  0.2500  0.7500  0.8594
Ge  0.2500  0.8693  0.5245
Ge  0.7500  0.1307  0.4755
Ge  0.7500  0.2500  0.1406
Ge  0.7500  0.3693  0.4755
Ge  0.7500  0.5831  0.1439
Ge  0.7500  0.9168  0.1439

Results
The calculation puts the energy of formation from the pure elements at -0.674 eV per atom. The space group is Pmmn. Its total magnetic moment is 0.0 Bohr magnetons per cell.

---

# BeTlFe

An optimized crystal structure of BeTlFe (PBE, Alexandria via LeMat-Bulk).

Lattice parameters (Å, degrees): 2.9609 2.9609 6.3627 90.00 90.00 120.00
Atoms (fractional coordinates):
Be  0.0000  0.0000  0.0000
Tl  0.3333  0.6667  0.6296
Fe  0.6667  0.3333  0.2553

Results
The calculation puts the energy of formation from the pure elements at 0.745 eV per atom. The space group is P3m1. Its total magnetic moment is 2.4 Bohr magnetons per cell. The value obtained for the energy relative to the lowest polymorph listed for this composition is 257 meV per atom.

---

# LaGa2GeRu2

An optimized crystal structure of LaGa2GeRu2 (PBE, Alexandria via LeMat-Bulk).

Lattice parameters (Å, degrees): 4.5619 4.5619 5.8239 90.00 90.00 90.00
Atoms (fractional coordinates):
La  0.0000  0.0000  0.0000
Ga  0.5000  0.5000  0.2380
Ga  0.5000  0.5000  0.7620
Ge  0.0000  0.0000  0.5000
Ru  0.0000  0.5000  0.5000
Ru  0.5000  0.0000  0.5000

Results
The calculation puts the energy of formation from the pure elements at -0.260 eV per atom. The space group is P4/mmm. Its total magnetic moment is 0.0 Bohr magnetons per cell.

---

# VCuPd3

An optimized crystal structure of VCuPd3 (PBE, Alexandria via LeMat-Bulk).

Lattice parameters (Å, degrees): 4.1404 5.3846 7.0730 90.00 90.00 90.00
Atoms (fractional coordinates):
V  0.2500  0.2500  0.1617
V  0.7500  0.7500  0.8383
Cu  0.2500  0.7500  0.4301
Cu  0.7500  0.2500  0.5699
Pd  0.2500  0.0038  0.7319
Pd  0.2500  0.4962  0.7319
Pd  0.2500  0.7500  0.0688
Pd  0.7500  0.2500  0.9312
Pd  0.7500  0.5038  0.2681
Pd  0.7500  0.9962  0.2681

Results
The calculation puts the energy of formation from the pure elements at 0.067 eV per atom. The space group is Pmmn. Its total magnetic moment is 3.0 Bohr magnetons per cell. The value obtained for the energy relative to the lowest polymorph listed for this composition is 0 meV per atom.

---

# SrCePuO6

An optimized crystal structure of SrCePuO6 (PBE, Alexandria via LeMat-Bulk).

Lattice parameters (Å, degrees): 5.9397 5.9397 9.9877 90.00 90.00 120.00
Atoms (fractional coordinates):
Sr  0.0000  0.0000  0.0000
Sr  0.0000  0.0000  0.5000
Ce  0.3333  0.6667  0.2500
Ce  0.6667  0.3333  0.7500
Pu  0.3333  0.6667  0.7500
Pu  0.6667  0.3333  0.2500
O  0.0246  0.3789  0.6433
O  0.0246  0.6457  0.8567
O  0.3543  0.3789  0.8567
O  0.3543  0.9754  0.6433
O  0.3789  0.0246  0.1433
O  0.3789  0.3543  0.3567
O  0.6211  0.6457  0.6433
O  0.6211  0.9754  0.8567
O  0.6457  0.0246  0.3567
O  0.6457  0.6211  0.1433
O  0.9754  0.3543  0.1433
O  0.9754  0.6211  0.3567

Results
The raw formation energy is -2.9148 eV/atom. The space group is P-31c. Its total magnetic moment is 4.0 Bohr magnetons per cell.

---

# MgBiC2

An optimized crystal structure of MgBiC2 (PBE, Alexandria via LeMat-Bulk).

Lattice parameters (Å, degrees): 5.2705 5.2705 10.1845 90.00 90.00 90.00
Atoms (fractional coordinates):
Mg  0.0000  0.0000  0.0000
Mg  0.0000  0.5000  0.2500
Mg  0.5000  0.0000  0.7500
Mg  0.5000  0.5000  0.5000
Bi  0.0000  0.0000  0.5000
Bi  0.0000  0.5000  0.7500
Bi  0.5000  0.0000  0.2500
Bi  0.5000  0.5000  0.0000
C  0.2422  0.2500  0.1250
C  0.2500  0.7422  0.3750
C  0.2500  0.7578  0.8750
C  0.2578  0.2500  0.6250
C  0.7422  0.7500  0.6250
C  0.7500  0.2422  0.8750
C  0.7500  0.2578  0.3750
C  0.7578  0.7500  0.1250

Results
The calculation puts the energy of formation from the pure elements at 1.382 eV per atom. The space group is I-42d. Its total magnetic moment is 3.0 Bohr magnetons per cell. The value obtained for the energy relative to the lowest polymorph listed for this composition is 0 meV per atom.

---

# La2Ho12Tm5

An optimized crystal structure of La2Ho12Tm5 (PBE, Alexandria via LeMat-Bulk).

Lattice parameters (Å, degrees): 6.7214 8.7366 11.3391 111.10 92.62 100.74
Atoms (fractional coordinates):
La  0.1548  0.3844  0.0741
La  0.8452  0.6156  0.9259
Ho  0.1206  0.7808  0.2488
Ho  0.1557  0.9750  0.8664
Ho  0.1682  0.5708  0.6839
Ho  0.3385  0.5554  0.4136
Ho  0.3824  0.1383  0.2329
Ho  0.3842  0.3020  0.7712
Ho  0.6158  0.6980  0.2288
Ho  0.6176  0.8617  0.7671
Ho  0.6615  0.4446  0.5864
Ho  0.8318  0.4292  0.3161
Ho  0.8443  0.0250  0.1336
Ho  0.8794  0.2192  0.7512
Tm  0.0453  0.1783  0.4600
Tm  0.3808  0.7350  0.9842
Tm  0.5000  0.0000  0.5000
Tm  0.6192  0.2650  0.0158
Tm  0.9547  0.8217  0.5400

Results
The calculation puts the energy of formation from the pure elements at 0.092 eV per atom. The space group is P-1. Its total magnetic moment is 0.0 Bohr magnetons per cell. The value obtained for the energy relative to the lowest polymorph listed for this composition is 0 meV per atom.